No. 1
A relaxed CdReAg2 crystal, computed with PBE.

POSCAR file:
```
CdReAg2
1.0
-2.6497 0.8023 -0.0692
0.8190 -0.4536 2.6063
2.7923 9.2859 0.7389
Ag Cd Re
2 1 1
Direct
0.0000 0.0000 0.9975
0.5000 0.5000 0.2456
0.0000 0.0000 0.5036
0.5000 0.5000 0.7533
```

Computed properties:
symmetry = Cmm2
calculated volume = 69.8 Å³ per cell
formation energy = 422 meV/atom

***

No. 2
A relaxed Cd2ReAg crystal, computed with PBE.

POSCAR file:
```
Cd2ReAg
1.0
-1.0588 2.0056 1.8984
-4.6484 -1.8128 -0.6774
0.6818 -3.1239 3.6806
Ag Cd Re
1 2 1
Direct
0.0000 0.5000 0.5000
0.0000 0.0000 0.0000
0.5000 0.5000 0.0000
0.5000 0.0000 0.5000
```

Computed properties:
polymorph energy (0 for the lowest one) = 1.18 eV/f.u.
symmetry = Pmmm
calculated volume = 72.6 Å³ per cell
formation energy = 646 meV/atom

***

No. 3
A relaxed CdReAg2 crystal, computed with PBE.

POSCAR file:
```
CdReAg2
1.0
-5.7635 0.3831 0.6824
-2.8443 -3.8368 3.3195
3.8421 4.2973 -0.7759
Re Ag Cd
1 2 1
Direct
0.2473 0.7473 0.5000
0.7519 0.2519 0.5000
0.0019 0.0019 0.0000
0.4989 0.4989 0.0000
```

Computed properties:
symmetry = Imm2
calculated volume = 70.8 Å³ per cell
formation energy = 616 meV/atom

***

No. 4
A relaxed Cd2ReAg crystal, computed with PBE.

POSCAR file:
```
Cd2ReAg
1.0
-2.6416 -0.7871 -0.6455
0.9927 -2.3887 -1.1501
-0.7161 -4.1373 7.9751
Ag Re Cd
1 1 2
Direct
0.5000 0.5000 0.7500
0.5000 0.5000 0.2500
0.0000 0.0000 0.0046
0.0000 0.0000 0.4954
```

Computed properties:
polymorph energy (0 for the lowest one) = 0.27 eV/f.u.
symmetry = P4/mmm
calculated volume = 72.2 Å³ per cell
formation energy = 417 meV/atom

***

No. 5
A relaxed CdReAg2 crystal, computed with PBE.

POSCAR file:
```
CdReAg2
1.0
-5.5294 0.2864 2.0407
-4.6383 -0.1185 -3.6458
4.7756 -2.3856 2.5146
Ag Re Cd
2 1 1
Direct
0.4922 0.4922 0.0000
0.0078 0.0078 0.0000
0.2500 0.7500 0.5000
0.7500 0.2500 0.5000
```

Computed properties:
symmetry = Immm
calculated volume = 71.8 Å³ per cell
formation energy = 599 meV/atom

***

No. 6
A relaxed CdReAg2 crystal, computed with PBE.

POSCAR file:
```
CdReAg2
1.0
4.8339 0.0000 0.0000
0.0000 2.7396 -0.1517
0.0000 0.2931 5.2525
Ag Re Cd
2 1 1
Direct
0.0000 0.8763 0.0279
0.5000 0.3748 0.2128
0.5000 0.8741 0.7194
0.0000 0.3748 0.5399
```

Computed properties:
symmetry = Pm
calculated volume = 69.8 Å³ per cell
formation energy = 562 meV/atom

***

No. 7
A relaxed CdReAg2 crystal, computed with PBE.

POSCAR file:
```
CdReAg2
1.0
-1.0632 -1.8171 1.8032
0.8605 -2.0926 -1.6013
7.8711 -0.1778 4.4619
Re Cd Ag
1 1 2
Direct
0.5000 0.5000 0.7552
0.0000 0.0000 0.5041
0.5000 0.5000 0.2455
0.0000 0.0000 0.9952
```

Computed properties:
symmetry = P4mm
calculated volume = 69.5 Å³ per cell
formation energy = 440 meV/atom

***

No. 8
A relaxed Cd2ReAg crystal, computed with PBE.

POSCAR file:
```
Cd2ReAg
1.0
-2.4661 -1.2308 0.5154
2.0890 -1.5170 1.0941
-0.7576 5.0646 8.4688
Cd Re Ag
2 1 1
Direct
0.0000 0.0000 0.9899
0.5000 0.5000 0.2642
0.0000 0.0000 0.5048
0.5000 0.5000 0.7411
```

Computed properties:
polymorph energy (0 for the lowest one) = 0.37 eV/f.u.
symmetry = Cmm2
calculated volume = 73.0 Å³ per cell
formation energy = 442 meV/atom

***

No. 9
A relaxed CdRe4Ag crystal, computed with PBE.

POSCAR file:
```
CdRe4Ag
1.0
4.5756 -2.5938 -0.3273
0.7800 -4.3413 2.8838
0.1928 -4.7180 -2.3397
Cd Re Ag
1 4 1
Direct
0.0000 0.0000 0.0000
0.8738 0.3754 0.3754
0.3754 0.3754 0.8738
0.3754 0.8738 0.3754
0.3754 0.3754 0.3754
0.7500 0.7500 0.7500
```

Computed properties:
symmetry = F-43m
calculated volume = 103.5 Å³ per cell
formation energy = 691 meV/atom

***

No. 10
A relaxed Cd2ReAg crystal, computed with PBE.

POSCAR file:
```
Cd2ReAg
1.0
-4.6030 0.4085 1.6976
-0.0068 -2.7776 0.6501
1.8316 1.0961 4.7028
Cd Ag Re
2 1 1
Direct
0.0000 0.1249 0.9461
0.5000 0.1251 0.3144
0.5000 0.6249 0.7908
0.0000 0.6251 0.4486
```

Computed properties:
polymorph energy (0 for the lowest one) = 0.61 eV/f.u.
symmetry = Pmm2
calculated volume = 72.5 Å³ per cell
formation energy = 502 meV/atom

***

No. 11
A relaxed CdReAg2 crystal, computed with PBE.

POSCAR file:
```
CdReAg2
1.0
5.3002 0.0020 0.0000
-2.1778 4.8321 0.0000
0.0000 0.0000 2.7036
Cd Re Ag
1 1 2
Direct
0.5000 0.0000 0.5000
0.0000 0.5000 0.5000
0.0000 0.0000 0.0000
0.5000 0.5000 0.0000
```

Computed properties:
symmetry = Cmmm
calculated volume = 69.3 Å³ per cell
formation energy = 530 meV/atom

***

No. 12
A relaxed Cd2ReAg crystal, computed with PBE.

POSCAR file:
```
Cd2ReAg
1.0
9.9102 -0.0086 -0.0050
9.4852 2.8712 -0.0050
9.4852 1.4000 2.5068
Re Cd Ag
1 2 1
Direct
0.2500 0.2500 0.2500
0.5009 0.5009 0.5009
0.9991 0.9991 0.9991
0.7500 0.7500 0.7500
```

Computed properties:
polymorph energy (0 for the lowest one) = 0.00 eV/f.u.
symmetry = R-3m
calculated volume = 71.7 Å³ per cell
formation energy = 350 meV/atom

***

No. 13
A relaxed Cd2ReAg crystal, computed with PBE.

POSCAR file:
```
Cd2ReAg
1.0
6.6490 0.0034 0.0112
-2.7254 4.4249 -0.0121
1.1983 0.7433 2.4487
Ag Cd Re
1 2 1
Direct
0.5000 0.5000 0.0000
0.0000 0.0000 0.0000
0.5000 0.0000 0.5000
0.0000 0.5000 0.5000
```

Computed properties:
polymorph energy (0 for the lowest one) = 0.39 eV/f.u.
symmetry = Cmmm
calculated volume = 72.0 Å³ per cell
formation energy = 449 meV/atom

***

No. 14
A relaxed Cd2ReAg crystal, computed with PBE.

POSCAR file:
```
Cd2ReAg
1.0
-2.8046 4.2014 -0.7625
-3.3187 0.4428 3.8586
5.0590 -0.7106 -0.0151
Cd Re Ag
2 1 1
Direct
0.0000 0.0000 0.0000
0.2500 0.7500 0.5000
0.5000 0.5000 0.0000
0.7500 0.2500 0.5000
```

Computed properties:
polymorph energy (0 for the lowest one) = 1.59 eV/f.u.
symmetry = I-4m2
calculated volume = 74.0 Å³ per cell
formation energy = 748 meV/atom

***

No. 15
A relaxed Cd2ReAg crystal, computed with PBE.

POSCAR file:
```
Cd2ReAg
1.0
-3.3771 1.1801 -0.4897
-1.2992 -4.1470 -1.0341
-0.9004 -0.7910 4.3034
Cd Ag Re
2 1 1
Direct
0.0000 0.5000 0.5000
0.0000 0.0000 0.0000
0.5000 0.0000 0.5000
0.5000 0.5000 0.0000
```

Computed properties:
polymorph energy (0 for the lowest one) = 1.00 eV/f.u.
symmetry = P4/mmm
calculated volume = 72.1 Å³ per cell
formation energy = 601 meV/atom

***

No. 16
A relaxed CdReAg2 crystal, computed with PBE.

POSCAR file:
```
CdReAg2
1.0
-4.3283 0.2643 -2.1686
-1.0535 -1.6398 1.9029
-1.4116 3.9542 3.2995
Ag Cd Re
2 1 1
Direct
0.0000 0.4720 0.5096
0.0000 0.0280 0.9904
0.5000 0.2500 0.2500
0.5000 0.7500 0.7500
```

Computed properties:
symmetry = P2/m
calculated volume = 70.2 Å³ per cell
formation energy = 590 meV/atom

***

No. 17
A relaxed Cd4ReAg crystal, computed with PBE.

POSCAR file:
```
Cd4ReAg
1.0
0.0000 3.9291 3.9291
3.9291 0.0000 3.9291
3.9291 3.9291 0.0000
Re Cd Ag
1 4 1
Direct
0.7500 0.7500 0.7500
0.8740 0.3753 0.3753
0.3753 0.8740 0.3753
0.3753 0.3753 0.3753
0.3753 0.3753 0.8740
0.0000 0.0000 0.0000
```

Computed properties:
symmetry = F-43m
calculated volume = 121.3 Å³ per cell
formation energy = 755 meV/atom

***

No. 18
A relaxed Cd3ReAg crystal, computed with PBE.

POSCAR file:
```
Cd3ReAg
1.0
5.1324 0.0000 0.0000
0.0000 5.1324 0.0000
0.0000 0.0000 5.1324
Cd Ag Re
3 1 1
Direct
0.5000 0.0000 0.0000
0.0000 0.0000 0.5000
0.0000 0.5000 0.0000
0.0000 0.0000 0.0000
0.5000 0.5000 0.5000
```

Computed properties:
polymorph energy (0 for the lowest one) = 1.28 eV/f.u.
symmetry = Pm-3m
calculated volume = 135.2 Å³ per cell
formation energy = 1413 meV/atom

***

No. 19
A relaxed Cd2ReAg crystal, computed with PBE.

POSCAR file:
```
Cd2ReAg
1.0
4.7216 0.0000 0.0000
2.3608 4.0891 0.0000
2.3608 1.3630 3.8552
Re Cd Ag
1 2 1
Direct
0.7500 0.7500 0.7500
0.0000 0.0000 0.0000
0.2500 0.2500 0.2500
0.5000 0.5000 0.5000
```

Computed properties:
polymorph energy (0 for the lowest one) = 1.72 eV/f.u.
symmetry = F-43m
calculated volume = 74.4 Å³ per cell
formation energy = 780 meV/atom

***

No. 20
A relaxed CdReAg2 crystal, computed with PBE.

POSCAR file:
```
CdReAg2
1.0
2.7653 0.0000 0.0000
0.0000 2.7653 0.0000
0.0000 0.0000 9.0675
Ag Cd Re
2 1 1
Direct
0.0000 0.0000 0.5092
0.0000 0.0000 0.9908
0.5000 0.5000 0.2500
0.5000 0.5000 0.7500
```

Computed properties:
symmetry = P4/mmm
calculated volume = 69.3 Å³ per cell
formation energy = 447 meV/atom

***

No. 21
A relaxed CdReAg2 crystal, computed with PBE.

POSCAR file:
```
CdReAg2
1.0
-0.8191 -0.5045 -2.6230
0.5621 -2.2212 1.5988
-9.5746 -0.2380 3.0355
Ag Re Cd
2 1 1
Direct
0.0000 0.0000 0.9936
0.0000 0.0000 0.5064
0.5000 0.5000 0.7500
0.5000 0.5000 0.2500
```

Computed properties:
symmetry = Cmmm
calculated volume = 69.9 Å³ per cell
formation energy = 427 meV/atom

***

No. 22
A relaxed Cd2ReAg crystal, computed with PBE.

POSCAR file:
```
Cd2ReAg
1.0
0.0000 3.3374 3.3374
3.3374 0.0000 3.3374
3.3374 3.3374 0.0000
Ag Cd Re
1 2 1
Direct
0.0000 0.0000 0.0000
0.7500 0.7500 0.7500
0.2500 0.2500 0.2500
0.5000 0.5000 0.5000
```

Computed properties:
polymorph energy (0 for the lowest one) = 1.54 eV/f.u.
symmetry = Fm-3m
calculated volume = 74.3 Å³ per cell
formation energy = 734 meV/atom

***

No. 23
A relaxed CdReAg2 crystal, computed with PBE.

POSCAR file:
```
CdReAg2
1.0
3.9323 0.0000 0.0000
0.0000 3.9323 0.0000
1.9661 1.9661 9.9863
Ag Re Cd
4 2 2
Direct
0.3750 0.3701 0.7500
0.1201 0.6250 0.2500
0.8750 0.8799 0.7500
0.6299 0.1250 0.2500
0.7500 0.2500 0.5000
0.0000 0.0000 0.0000
0.2500 0.7500 0.5000
0.5000 0.5000 0.0000
```

Computed properties:
symmetry = I-42d
calculated volume = 154.4 Å³ per cell
formation energy = 1043 meV/atom

***

No. 24
A relaxed Cd3ReAg crystal, computed with PBE.

POSCAR file:
```
Cd3ReAg
1.0
5.2678 0.0000 0.0000
0.0000 5.2678 0.0000
0.0000 0.0000 5.2678
Re Ag Cd
1 1 3
Direct
0.0000 0.0000 0.0000
0.5000 0.5000 0.5000
0.0000 0.5000 0.0000
0.5000 0.0000 0.0000
0.0000 0.0000 0.5000
```

Computed properties:
polymorph energy (0 for the lowest one) = 0.00 eV/f.u.
symmetry = Pm-3m
calculated volume = 146.2 Å³ per cell
formation energy = 1157 meV/atom

***

No. 25
A relaxed Cd2ReAg crystal, computed with PBE.

POSCAR file:
```
Cd2ReAg
1.0
-2.2540 0.3657 3.3243
-1.1185 -3.8604 -0.3337
6.0160 -4.4562 7.0157
Cd Ag Re
4 2 2
Direct
0.1202 0.6250 0.2500
0.8750 0.8798 0.7500
0.3750 0.3702 0.7500
0.6298 0.1250 0.2500
0.5000 0.5000 0.0000
0.2500 0.7500 0.5000
0.0000 0.0000 0.0000
0.7500 0.2500 0.5000
```

Computed properties:
polymorph energy (0 for the lowest one) = 2.64 eV/f.u.
symmetry = I-42d
calculated volume = 160.3 Å³ per cell
formation energy = 1010 meV/atom

***

No. 26
A relaxed Cd2ReAg crystal, computed with PBE.

POSCAR file:
```
Cd2ReAg
1.0
5.0763 -0.0379 0.0000
1.6161 4.8123 0.0000
-3.3462 -2.3872 2.9790
Re Ag Cd
1 1 2
Direct
0.2500 0.7500 0.5000
0.7500 0.2500 0.5000
0.5000 0.5000 0.0000
0.0000 0.0000 0.0000
```

Computed properties:
polymorph energy (0 for the lowest one) = 1.53 eV/f.u.
symmetry = I4/mmm
calculated volume = 73.0 Å³ per cell
formation energy = 733 meV/atom

***

No. 27
A relaxed CdReAg2 crystal, computed with PBE.

POSCAR file:
```
CdReAg2
1.0
4.9378 -0.0467 0.0000
1.2801 4.7692 0.0000
-3.1089 -2.3612 3.0237
Cd Ag Re
1 2 1
Direct
0.2500 0.7500 0.5000
0.5000 0.5000 0.0000
0.0000 0.0000 0.0000
0.7500 0.2500 0.5000
```

Computed properties:
symmetry = I4/mmm
calculated volume = 71.4 Å³ per cell
formation energy = 786 meV/atom

***

No. 28
A relaxed CdReAg2 crystal, computed with PBE.

POSCAR file:
```
CdReAg2
1.0
-3.5157 -1.1452 -4.3160
5.6150 -0.2765 -0.8337
0.3630 -2.6596 -0.2884
Cd Ag Re
1 2 1
Direct
0.5000 0.0000 0.5000
0.5000 0.5000 0.0000
0.0000 0.0000 0.0000
0.0000 0.5000 0.5000
```

Computed properties:
symmetry = C2/m
calculated volume = 70.0 Å³ per cell
formation energy = 546 meV/atom

***

No. 29
A relaxed Cd2ReAg crystal, computed with PBE.

POSCAR file:
```
Cd2ReAg
1.0
4.3030 0.0000 0.0000
0.0000 2.8070 0.0363
0.0000 2.7682 6.0529
Cd Re Ag
2 1 1
Direct
0.0000 0.5076 0.4916
0.0000 0.9924 0.0084
0.5000 0.2500 0.2500
0.5000 0.7500 0.7500
```

Computed properties:
polymorph energy (0 for the lowest one) = 0.70 eV/f.u.
symmetry = P2/m
calculated volume = 72.7 Å³ per cell
formation energy = 524 meV/atom

***

No. 30
A relaxed Cd2ReAg crystal, computed with PBE.

POSCAR file:
```
Cd2ReAg
1.0
5.6541 0.0077 0.0708
4.9604 2.7136 0.0708
2.1567 0.5529 4.7446
Ag Cd Re
1 2 1
Direct
0.7572 0.7572 0.8360
0.2433 0.2433 0.3461
0.0035 0.0035 0.9102
0.4960 0.4960 0.4076
```

Computed properties:
polymorph energy (0 for the lowest one) = 0.44 eV/f.u.
symmetry = Cm
calculated volume = 72.2 Å³ per cell
formation energy = 461 meV/atom